Record 1
## La12Sm3Ag (PBE)

Data for crystalline La12Sm3Ag at its relaxed geometry.

```
16
Lattice="5.173 0.000 0.000 0.000 5.173 0.000 0.000 0.000 20.793" Properties=species:S:1:pos:R:3 pbc="T T T"
Sm 0.000 0.000 10.397
La 2.586 0.000 18.301
La 0.000 2.586 7.748
La 2.586 2.586 0.000
La 2.586 2.586 10.397
La 0.000 2.586 13.045
La 2.586 2.586 15.710
Ag 0.000 0.000 0.000
La 2.586 0.000 13.045
La 0.000 2.586 18.301
La 2.586 0.000 2.492
La 2.586 2.586 5.083
La 0.000 2.586 2.492
La 2.586 0.000 7.748
Sm 0.000 0.000 15.703
Sm 0.000 0.000 5.090
```

## Properties
* crystal system: tetragonal
* space-group type: P4/mmm



Record 2
## La3Sm4Ag (PBE)

Data for crystalline La3Sm4Ag at its relaxed geometry.

```
8
Lattice="3.725 0.000 0.000 0.000 3.725 0.000 0.000 0.000 18.981" Properties=species:S:1:pos:R:3 pbc="T T T"
La 1.862 1.862 9.490
Sm 0.000 0.000 17.159
La 1.862 1.862 4.354
Ag 1.862 1.862 0.000
La 1.862 1.862 14.627
Sm 0.000 0.000 6.923
Sm 0.000 0.000 1.822
Sm 0.000 0.000 12.058
```

## Properties
* crystal system: tetragonal
* space-group type: P4/mmm



Calculated E_form, 8, -48 meV per atom (same order as the records).